Record 1
## SiMo2H (PBE)

Data for a relaxed structure of SiMo2H.

abc: 5.8319 5.8319 5.0122
angles: 54.42 54.42 90.00
Fractional coordinates of all 8 atoms:
Si (0.7500, 0.2500, 0.5000)
Si (0.0000, 0.0000, 0.0000)
Mo (0.5425, 0.1250, 0.2500)
Mo (0.8750, 0.7925, 0.7500)
Mo (0.2075, 0.6250, 0.2500)
Mo (0.3750, 0.4575, 0.7500)
H (0.5000, 0.5000, 0.0000)
H (0.2500, 0.7500, 0.5000)

---

Record 2
## CsAlTl3 (PBE)

Data for a relaxed structure of CsAlTl3.

The calculation puts the calculated formation energy at 1.091 eV/atom.

abc: 6.5335 6.5335 6.5335
angles: 90.00 90.00 90.00
Fractional coordinates of all 5 atoms:
Tl (0.0000, 0.0000, 0.5000)
Tl (0.0000, 0.5000, 0.0000)
Tl (0.5000, 0.0000, 0.0000)
Cs (0.0000, 0.0000, 0.0000)
Al (0.5000, 0.5000, 0.5000)

---

Q: Which ρ values were calculated for the entries above? A: 7.6 4.6, in g/cm³.
Q: Which E_tot values were calculated for the entries above? A: -60.46 -6.24, in eV per cell.
Q: Which distance to the lowest polymorph of the same formula values were calculated for the entries above? A: 0 967, in meV/atom.